Crystalline GaGeSe2F at its relaxed geometry, computed with PBE.

Cell lengths 5.074, 5.074, 4.076 Å; angles 90.00, 90.00, 90.00 degrees
Space group P4/mmm (No. 123)
Unique sites:
Ga 0.000 0.000 0.000 (multiplicity 1)
Ge 0.500 0.500 0.500 (multiplicity 1)
Se 0.000 0.500 0.500 (multiplicity 2)
F 0.500 0.500 0.000 (multiplicity 1)

Values from the calculation:
Formation energy without anion corrections = -0.544 eV per atom
Total DFT energy (no corrections) = -3.841 eV per atom